The following is a DFT calculation (PBEsol) of a relaxed Y2HgW crystal.

DOS(E_F): 0.89 states/eV/atom
Volume: 22.88 Å³ per atom
Space group: No. 99
M_tot: 0.00 Bohr magnetons per cell
DFT formation energy: 390 meV/atom

a b c (Å): 3.8369 3.8369 6.2167
angles (deg): 90.00 90.00 90.00
Last column: nearest neighbours and their distance in Å.
Fractional positions:
1 Y 0.0000 0.0000 0.0000  1 Hg 2.86, 4 W 2.96
2 Y 0.5000 0.5000 0.3169  4 Hg 3.05, 2 W 3.06-3.16, 4 Y 3.35
3 Hg 0.0000 0.0000 0.5405  5 Y 2.86-3.05, 4 W 3.19
4 W 0.5000 0.5000 0.8090  6 Y 2.96-3.16, 4 Hg 3.19